1.
DFT (GGA-PBE) results for crystalline Dy6PuTh at its relaxed geometry.

## Properties
Fermi-level density of states   15.12 states/eV/f.u.
Spin magnetization   6.1 μB/cell
VASP energy   -0.211 Ha/atom
Formation enthalpy at 0 K   0.433 eV/atom

Cell lengths 6.0077, 6.0077, 8.4989 Å; angles 104.50, 104.50, 68.79 degrees
Closest atoms and distances in Å follow each position.
Sites, in units of the cell vectors:
Dy (0.0510, 0.5625, 0.2005)  1 Pu 3.19, 5 Dy 3.25-3.47, 2 Th 3.40-3.43
Dy (0.1339, 0.1339, 0.4301)  5 Dy 3.22-3.44, 1 Pu 3.50
Dy (0.4375, 0.9490, 0.7995)  1 Pu 3.19, 5 Dy 3.25-3.47, 2 Th 3.40-3.43
Dy (0.5625, 0.0510, 0.2005)  1 Pu 3.19, 5 Dy 3.25-3.47, 2 Th 3.40-3.43
Dy (0.8661, 0.8661, 0.5699)  5 Dy 3.22-3.44, 1 Pu 3.50
Dy (0.9490, 0.4375, 0.7995)  1 Pu 3.19, 5 Dy 3.25-3.47, 2 Th 3.40-3.43
Pu (0.5000, 0.5000, 0.5000)  6 Dy 3.19-3.50
Th (0.5000, 0.5000, 0.0000)  8 Dy 3.40-3.43

***

2.
DFT (GGA-PBE) results for crystalline LiMg2Be at its relaxed geometry.

## Properties
Fermi-level density of states   1.05 states/eV/f.u.
Spin magnetization   0.0 μB/cell
VASP energy   -0.075 Ha/atom
Formation enthalpy at 0 K   0.160 eV/atom

Cell lengths 3.0639, 3.0639, 7.1888 Å; angles 90.00, 90.00, 90.00 degrees
Closest atoms and distances in Å follow each position.
Sites, in units of the cell vectors:
Li (0.0000, 0.0000, 0.0000)  4 Be 2.51
Mg (0.0000, 0.0000, 0.5995)  4 Be 2.70, 1 Li 2.88
Mg (0.5000, 0.5000, 0.2698)  4 Li 2.91, 8 Mg 3.06-3.21, 1 Be 3.20
Be (0.5000, 0.5000, 0.8240)  4 Li 2.51, 4 Mg 2.70

***

3.
DFT (GGA-PBE) results for crystalline K2ScAuI6 at its relaxed geometry.

## Properties
Spin magnetization   0.0 μB/cell
VASP energy   -0.113 Ha/atom
Raw formation energy   -972.9 meV/atom
Excess energy over the best structure of this formula in the dataset   0.0908 eV/atom

Cell lengths 8.3404, 8.3404, 8.3404 Å; angles 60.00, 60.00, 60.00 degrees
Closest atoms and distances in Å follow each position.
Sites, in units of the cell vectors:
K (0.2500, 0.2500, 0.2500)  12 I 4.17
K (0.7500, 0.7500, 0.7500)  12 I 4.17
Sc (0.0000, 0.0000, 0.0000)  6 I 2.90
Au (0.5000, 0.5000, 0.5000)  6 I 3.00
I (0.2458, 0.2458, 0.7542)  1 Sc 2.90, 1 Au 3.00
I (0.2458, 0.7542, 0.2458)  1 Sc 2.90, 1 Au 3.00
I (0.2458, 0.7542, 0.7542)  1 Sc 2.90, 1 Au 3.00
I (0.7542, 0.2458, 0.2458)  1 Sc 2.90, 1 Au 3.00
I (0.7542, 0.2458, 0.7542)  1 Sc 2.90, 1 Au 3.00
I (0.7542, 0.7542, 0.2458)  1 Sc 2.90, 1 Au 3.00

***

4.
DFT (GGA-PBE) results for crystalline TlTeRh2 at its relaxed geometry.

## Properties
Fermi-level density of states   3.13 states/eV/f.u.
Spin magnetization   0.0 μB/cell
VASP energy   -0.181 Ha/atom
Raw formation energy   129.8 meV/atom
Excess energy over the best structure of this formula in the dataset   0.1443 eV/atom

Cell lengths 4.7148, 4.7148, 4.7148 Å; angles 60.00, 60.00, 60.00 degrees
Closest atoms and distances in Å follow each position.
Sites, in units of the cell vectors:
Tl (0.0000, 0.0000, 0.0000)  8 Rh 2.89
Te (0.5000, 0.5000, 0.5000)  8 Rh 2.89
Rh (0.2500, 0.2500, 0.2500)  4 Te 2.89, 4 Tl 2.89
Rh (0.7500, 0.7500, 0.7500)  4 Te 2.89, 4 Tl 2.89

***

5.
DFT (GGA-PBE) results for crystalline SrHgCl2 at its relaxed geometry.

## Properties
Spin magnetization   0.0 μB/cell
VASP energy   -0.113 Ha/atom
Raw formation energy   -1662.6 meV/atom
Excess energy over the best structure of this formula in the dataset   0.1367 eV/atom

Cell lengths 3.7076, 3.7090, 9.9811 Å; angles 90.00, 90.33, 90.00 degrees
Closest atoms and distances in Å follow each position.
Sites, in units of the cell vectors:
Sr (0.0000, 0.0000, 0.0000)  8 Cl 3.07
Hg (0.0000, 0.0000, 0.5000)  4 Hg 3.71
Cl (0.4977, 0.5000, 0.8404)  4 Sr 3.07, 1 Cl 3.19
Cl (0.5023, 0.5000, 0.1596)  4 Sr 3.07, 1 Cl 3.19

***

6.
DFT (GGA-PBE) results for crystalline PdRuC3 at its relaxed geometry.

## Properties
Fermi-level density of states   1.78 states/eV/f.u.
Spin magnetization   0.0 μB/cell
VASP energy   -0.235 Ha/atom
Formation enthalpy at 0 K   2.031 eV/atom
Excess energy over the best structure of this formula in the dataset   0.0000 eV/atom

Cell lengths 3.9604, 3.9604, 3.9604 Å; angles 90.00, 90.00, 90.00 degrees
Closest atoms and distances in Å follow each position.
Sites, in units of the cell vectors:
Pd (0.0000, 0.0000, 0.0000)  12 C 2.80
Ru (0.5000, 0.5000, 0.5000)  6 C 1.98
C (0.0000, 0.5000, 0.5000)  2 Ru 1.98
C (0.5000, 0.0000, 0.5000)  2 Ru 1.98
C (0.5000, 0.5000, 0.0000)  2 Ru 1.98

***

7.
DFT (GGA-PBE) results for crystalline HgPdS2N at its relaxed geometry.

## Properties
Fermi-level density of states   3.52 states/eV/f.u.
Spin magnetization   0.5 μB/cell
VASP energy   -0.131 Ha/atom
Raw formation energy   841.5 meV/atom
Excess energy over the best structure of this formula in the dataset   0.0000 eV/atom

Cell lengths 4.9885, 4.9885, 3.7252 Å; angles 90.00, 90.00, 90.00 degrees
Closest atoms and distances in Å follow each position.
Sites, in units of the cell vectors:
Hg (0.0000, 0.0000, 0.0000)  8 S 3.11
Pd (0.5000, 0.5000, 0.5000)  2 N 1.86
S (0.0000, 0.5000, 0.5000)  2 Pd 2.49
S (0.5000, 0.0000, 0.5000)  2 Pd 2.49
N (0.5000, 0.5000, 0.0000)  2 Pd 1.86

***

8.
DFT (GGA-PBE) results for crystalline Ho3Si2Ni7 at its relaxed geometry.

## Properties
Fermi-level density of states   5.36 states/eV/f.u.
Spin magnetization   0.0 μB/cell
VASP energy   -0.212 Ha/atom
Raw formation energy   -340.4 meV/atom

Cell lengths 13.3264, 13.3264, 3.6989 Å; angles 90.00, 90.00, 162.86 degrees
Closest atoms and distances in Å follow each position.
Sites, in units of the cell vectors:
Ho (0.0000, 0.0000, 0.0000)  4 Ni 2.71
Ho (0.2014, 0.7986, 0.0000)  8 Ni 2.72-2.73
Ho (0.7986, 0.2014, 0.0000)  8 Ni 2.72-2.73
Si (0.4174, 0.5826, 0.5000)  5 Ni 2.18-2.28
Si (0.5826, 0.4174, 0.5000)  5 Ni 2.18-2.28
Ni (0.1253, 0.8747, 0.5000)  2 Si 2.28
Ni (0.2948, 0.7052, 0.5000)  4 Ni 2.70-2.90, 4 Ho 2.72
Ni (0.3694, 0.6306, 0.0000)  2 Si 2.24
Ni (0.5000, 0.5000, 0.5000)  2 Si 2.18
Ni (0.6306, 0.3694, 0.0000)  2 Si 2.24
Ni (0.7052, 0.2948, 0.5000)  4 Ni 2.70-2.90, 4 Ho 2.72
Ni (0.8747, 0.1253, 0.5000)  2 Si 2.28

***

9.
DFT (GGA-PBE) results for crystalline MnSbSeN2 at its relaxed geometry.

## Properties
Fermi-level density of states   1.35 states/eV/f.u.
Spin magnetization   5.4 μB/cell
VASP energy   -0.205 Ha/atom
Raw formation energy   1115.6 meV/atom
Excess energy over the best structure of this formula in the dataset   0.3608 eV/atom

Cell lengths 3.9681, 3.9681, 5.7914 Å; angles 90.00, 90.00, 90.00 degrees
Closest atoms and distances in Å follow each position.
Sites, in units of the cell vectors:
Mn (0.0000, 0.0000, 0.0000)  4 Se 2.81
Sb (0.5000, 0.5000, 0.5000)  4 N 1.98
Se (0.5000, 0.5000, 0.0000)  4 Mn 2.81, 2 Sb 2.90
N (0.0000, 0.5000, 0.5000)  2 Sb 1.98
N (0.5000, 0.0000, 0.5000)  2 Sb 1.98

***

10.
DFT (GGA-PBE) results for crystalline LiInAu5 at its relaxed geometry.

## Properties
Fermi-level density of states   2.75 states/eV/f.u.
Spin magnetization   0.0 μB/cell
VASP energy   -0.116 Ha/atom
Formation enthalpy at 0 K   -0.152 eV/atom
Excess energy over the best structure of this formula in the dataset   0.0000 eV/atom

Cell lengths 4.9728, 4.9728, 5.6113 Å; angles 90.00, 90.00, 90.00 degrees
Closest atoms and distances in Å follow each position.
Sites, in units of the cell vectors:
Li (0.0000, 0.0000, 0.0000)  10 Au 2.81-2.83
In (0.5000, 0.5000, 0.5000)  8 Au 2.88
Au (0.0000, 0.0000, 0.5000)  2 Li 2.81, 8 Au 2.88
Au (0.0000, 0.5000, 0.2397)  4 Au 2.69-2.92, 2 Li 2.83, 2 In 2.88
Au (0.0000, 0.5000, 0.7603)  4 Au 2.69-2.92, 2 Li 2.83, 2 In 2.88
Au (0.5000, 0.0000, 0.2397)  4 Au 2.69-2.92, 2 Li 2.83, 2 In 2.88
Au (0.5000, 0.0000, 0.7603)  4 Au 2.69-2.92, 2 Li 2.83, 2 In 2.88

***

11.
DFT (GGA-PBE) results for crystalline Sr2TaTePb at its relaxed geometry.

## Properties
Fermi-level density of states   6.47 states/eV/f.u.
Spin magnetization   3.6 μB/cell
VASP energy   -0.123 Ha/atom
Raw formation energy   1073.0 meV/atom

Cell lengths 6.2259, 6.2259, 5.8872 Å; angles 90.00, 90.00, 90.00 degrees
Closest atoms and distances in Å follow each position.
Sites, in units of the cell vectors:
Sr (0.0000, 0.5000, 0.0000)  2 Pb 3.11
Sr (0.5000, 0.0000, 0.0000)  2 Pb 3.11
Ta (0.0000, 0.0000, 0.5000)  8 Sr 4.28, 4 Te 4.40
Te (0.5000, 0.5000, 0.5000)  2 Pb 2.94
Pb (0.5000, 0.5000, 0.0000)  2 Te 2.94, 4 Sr 3.11

***

12.
DFT (GGA-PBE) results for crystalline Y2HoSc5 at its relaxed geometry.

## Properties
Fermi-level density of states   16.38 states/eV/f.u.
Spin magnetization   0.0 μB/cell
VASP energy   -0.223 Ha/atom
Formation enthalpy at 0 K   0.064 eV/atom
Excess energy over the best structure of this formula in the dataset   0.0378 eV/atom

Cell lengths 6.7241, 6.7241, 6.7241 Å; angles 119.37, 119.37, 91.10 degrees
Closest atoms and distances in Å follow each position.
Sites, in units of the cell vectors:
Y (0.0000, 0.5000, 0.5000)  10 Sc 3.36-3.39, 2 Ho 3.39
Y (0.5000, 0.0000, 0.5000)  10 Sc 3.36-3.39, 2 Ho 3.39
Ho (0.0000, 0.0000, 0.0000)  8 Sc 3.36, 4 Y 3.39
Sc (0.0000, 0.0000, 0.5000)  6 Sc 3.36-3.39, 4 Y 3.36, 2 Ho 3.36
Sc (0.0000, 0.5000, 0.0000)  6 Sc 3.36-3.39, 4 Y 3.36, 2 Ho 3.36
Sc (0.5000, 0.0000, 0.0000)  6 Sc 3.36-3.39, 4 Y 3.36, 2 Ho 3.36
Sc (0.5000, 0.5000, 0.0000)  8 Sc 3.36, 4 Y 3.39
Sc (0.5000, 0.5000, 0.5000)  6 Sc 3.36-3.39, 4 Y 3.36, 2 Ho 3.36

***

13.
DFT (GGA-PBE) results for crystalline SmTlBr4 at its relaxed geometry.

## Properties
Fermi-level density of states   0.00 states/eV/f.u.
Spin magnetization   0.0 μB/cell
VASP energy   -0.139 Ha/atom
Raw formation energy   -1478.2 meV/atom
Excess energy over the best structure of this formula in the dataset   0.0488 eV/atom

Cell lengths 8.6122, 8.6122, 7.2506 Å; angles 107.69, 107.69, 110.14 degrees
Closest atoms and distances in Å follow each position.
Sites, in units of the cell vectors:
Sm (0.0023, 0.9977, 0.7500)  8 Br 3.01-3.04
Sm (0.9977, 0.0023, 0.2500)  8 Br 3.01-3.04
Tl (0.3669, 0.6331, 0.2500)  8 Br 3.42-3.54
Tl (0.6331, 0.3669, 0.7500)  8 Br 3.42-3.54
Br (0.0551, 0.7365, 0.9295)  2 Sm 3.01-3.02
Br (0.2080, 0.3334, 0.6988)  2 Sm 3.03-3.04
Br (0.2635, 0.9449, 0.5705)  2 Sm 3.01-3.02
Br (0.3334, 0.2080, 0.1988)  2 Sm 3.03-3.04
Br (0.6666, 0.7920, 0.8012)  2 Sm 3.03-3.04
Br (0.7365, 0.0551, 0.4295)  2 Sm 3.01-3.02
Br (0.7920, 0.6666, 0.3012)  2 Sm 3.03-3.04
Br (0.9449, 0.2635, 0.0705)  2 Sm 3.01-3.02